TmCd6Pd12 GGA-PBE relaxed; crystal system = trigonal; D(E_F) = 0.608 states/eV/atom; E_form = -23 kJ per mole of atoms
1.0
-6.8928 1.0231 -1.6845
-0.4826 -5.3575 4.7391
1.2476 5.5918 4.3093
Cd Tm Pd
6 1 12
direct
0.1772 0.1765 0.4442
0.1765 0.4442 0.1772
0.8235 0.5558 0.8228
0.5558 0.8228 0.8235
0.4442 0.1772 0.1765
0.8228 0.8235 0.5558
0.0000 0.0000 0.0000
0.5954 0.1808 0.5947
0.2549 0.9997 0.7453
0.4046 0.8192 0.4053
0.7453 0.2549 0.9997
0.9997 0.7453 0.2549
0.8192 0.4053 0.4046
0.5947 0.5954 0.1808
0.2547 0.7451 0.0003
0.0003 0.2547 0.7451
0.1808 0.5947 0.5954
0.7451 0.0003 0.2547
0.4053 0.4046 0.8192

=====

ReRh GGA-PBE relaxed; energy above the most stable polymorph in this dataset = 118.4 meV/atom; crystal system = orthorhombic; D(E_F) = 1.008 states/eV/atom; E_form = -6 kJ per mole of atoms
1.0
-1.9392 1.9369 7.7267
1.9392 -1.9369 7.7267
1.9392 1.9369 -7.7267
Rh Re
4 4
direct
0.2525 0.2525 0.0000
0.5024 0.5024 0.0000
0.1229 0.6229 0.5000
0.7490 0.7490 0.0000
0.6225 0.1225 0.5000
0.0010 0.0010 0.0000
0.3721 0.8721 0.5000
0.8777 0.3777 0.5000

=====

Ca3InRh8 GGA-PBE relaxed; crystal system = trigonal; D(E_F) = 1.070 states/eV/atom; E_form = -34 kJ per mole of atoms
1.0
-4.3929 0.7594 -2.8897
-4.5244 -2.4325 1.3552
-5.1078 6.2139 4.5143
Rh Ca In
8 3 1
direct
0.1877 0.1877 0.4370
0.4404 0.9381 0.6834
0.4368 0.9349 0.1915
0.9349 0.4368 0.1915
0.9381 0.4404 0.6834
0.6877 0.6877 0.9369
0.9381 0.9381 0.6834
0.4368 0.4368 0.1915
0.9992 0.9992 0.0025
0.3751 0.3751 0.8747
0.5006 0.5006 0.4981
0.8746 0.8746 0.3761

=====

Si2TeP GGA-PBE relaxed; energy above the most stable polymorph in this dataset = 0.0 meV/atom; crystal system = trigonal; D(E_F) = 0.203 states/eV/atom; formation energy without anion corrections = 0.171 eV per atom
1.0
-1.6825 -4.1373 4.9166
0.3805 -6.1403 2.5045
2.0611 -3.8781 4.9833
P Te Si
1 1 2
direct
0.7500 0.7500 0.7500
0.2500 0.2500 0.2500
0.0145 0.0145 0.0145
0.4855 0.4855 0.4855

=====

SiOs3Cl GGA-PBE relaxed; energy above the most stable polymorph in this dataset = 0.0 meV/atom; crystal system = cubic; D(E_F) = 1.500 states/eV/atom; formation energy without anion corrections = 1.837 eV per atom
1.0
-2.6524 3.1526 1.8357
0.9879 -1.5642 4.1136
3.5118 2.8211 0.2293
Os Cl Si
3 1 1
direct
0.0000 0.5000 0.0000
0.5000 0.0000 0.0000
0.0000 0.0000 0.5000
0.5000 0.5000 0.5000
0.0000 0.0000 0.0000

=====

La8Si3SnI4 GGA-PBE relaxed; crystal system = trigonal; D(E_F) = 0.498 states/eV/atom; formation energy without anion corrections = -1.001 eV per atom
1.0
-6.4824 2.8809 -5.5273
4.5505 -3.7114 -7.2713
-2.0596 -5.2923 6.9728
I Si Sn La
4 3 1 8
direct
0.5000 0.0000 0.5000
0.0000 0.0000 0.5000
0.5000 0.0000 0.0000
0.0000 0.0000 0.0000
0.5000 0.5000 0.0000
0.0000 0.5000 0.5000
0.5000 0.5000 0.5000
0.0000 0.5000 0.0000
0.2782 0.2930 0.0356
0.7575 0.2930 0.0356
0.7574 0.2930 0.5149
0.2667 0.3001 0.5334
0.2425 0.7070 0.9644
0.7218 0.7070 0.9644
0.7333 0.6999 0.4666
0.2426 0.7070 0.4851

=====

What did we get for uncorrected energy? Answer: -76.8 -79.7 -71.8 -18.7 -31.8 -81.9 eV/cell, in the order shown.
What did we get for ρ? Answer: 10.3 16.5 8.3 4.7 11.5 5.6 g cm⁻³, in the order shown.